[1]
The following is a GGA-PBE calculation of a relaxed Tb2PuSi4Pt3 crystal, from Alexandria.

a b c (Å): 4.189 4.189 11.024
angles (deg): 90.00 90.00 90.00
Space group P-4m2 (No. 115)
Symmetry-distinct sites (fractional):
Tb 0.000 0.500 0.231 x2
Pu 0.000 0.000 0.500 x1
Si 0.000 0.000 0.000 x1
Si 0.000 0.500 0.671 x2
Si 0.500 0.500 0.000 x1
Pt 0.000 0.500 0.888 x2
Pt 0.500 0.500 0.500 x1

Crystal system: tetragonal
V, A^3/atom: 19.3
Theoretical density, Mg/m³: 10.81
Raw formation energy, eV per atom: -0.826
Size of the total moment, μB per cell: 5.22

[2]
The following is a GGA-PBE calculation of a relaxed Ca3AlGe crystal, from Alexandria.

a b c (Å): 5.637 5.637 5.637
angles (deg): 90.00 90.00 90.00
Space group Pm-3m (No. 221)
Symmetry-distinct sites (fractional):
Ca 0.000 0.000 0.500 x3
Al 0.500 0.500 0.500 x1
Ge 0.000 0.000 0.000 x1

E above lowest polymorph, eV/atom: 0.0000
Crystal system: cubic
V, A^3/atom: 35.8
E_form, eV per atom: -0.03
Theoretical density, Mg/m³: 2.04
Size of the total moment, μB per cell: 0.00

[3]
The following is a GGA-PBE calculation of a relaxed MgSbOs crystal, from Alexandria.

a b c (Å): 4.4886 4.4886 3.3034
angles (deg): 90.00 90.00 120.00
Space group P-6m2 (No. 187)
Symmetry-distinct sites (fractional):
Mg 0.0000 0.0000 0.0000 x1
Sb 0.3333 0.6667 0.5000 x1
Os 0.6667 0.3333 0.5000 x1

Crystal system: hexagonal
V, A^3/atom: 19.2
Theoretical density, Mg/m³: 9.69
Raw formation energy, eV per atom: 0.251
Size of the total moment, μB per cell: 0.00

[4]
The following is a GGA-PBE calculation of a relaxed NbHg3Au crystal, from Alexandria.

a b c (Å): 5.260 5.260 5.260
angles (deg): 90.00 90.00 90.00
Space group Pm-3m (No. 221)
Symmetry-distinct sites (fractional):
Nb 0.000 0.000 0.000 x1
Hg 0.000 0.500 0.500 x3
Au 0.500 0.500 0.500 x1

E above lowest polymorph, eV/atom: 0.0000
Crystal system: cubic
V, A^3/atom: 29.1
E_form, eV per atom: 0.99
Theoretical density, Mg/m³: 10.17
Size of the total moment, μB per cell: 3.92

[5]
The following is a GGA-PBE calculation of a relaxed EuDyGaPt crystal, from Alexandria.

a b c (Å): 7.189 7.189 7.189
angles (deg): 90.00 90.00 90.00
Space group F-43m (No. 216)
Symmetry-distinct sites (fractional):
Eu 0.000 0.000 0.000 x4
Dy 0.000 0.000 0.500 x4
Ga 0.250 0.250 0.250 x4
Pt 0.250 0.250 0.750 x4

Crystal system: cubic
V, A^3/atom: 23.2
E_form, eV per atom: -0.73
Theoretical density, Mg/m³: 10.36
Size of the total moment, μB per cell: 27.67

[6]
The following is a GGA-PBE calculation of a relaxed CeBeP2O8 crystal, from Alexandria.

a b c (Å): 4.9976 4.9976 6.2350
angles (deg): 90.00 90.00 120.00
Space group P-3 (No. 147)
Symmetry-distinct sites (fractional):
Ce 0.0000 0.0000 0.0000 x1
Be 0.0000 0.0000 0.5000 x1
P 0.3333 0.6667 0.7584 x2
O 0.1622 0.3267 0.6855 x6
O 0.3333 0.6667 0.0071 x2

Crystal system: trigonal
V, A^3/atom: 11.2
Theoretical density, Mg/m³: 4.17
Raw formation energy, eV per atom: -2.501
Size of the total moment, μB per cell: 0.15

[7]
The following is a GGA-PBE calculation of a relaxed FeSiOs2 crystal, from Alexandria.

a b c (Å): 2.7695 2.7695 24.2329
angles (deg): 90.00 90.00 120.00
Space group R-3m (No. 166, hexagonal axes)
Symmetry-distinct sites (fractional):
Fe 0.0000 0.0000 0.0000 x3
Si 0.0000 0.0000 0.5000 x3
Os 0.0000 0.0000 0.2472 x6

Crystal system: trigonal
V, A^3/atom: 13.4
Theoretical density, Mg/m³: 14.37
Raw formation energy, eV per atom: 0.051
Size of the total moment, μB per cell: 7.54

[8]
The following is a GGA-PBE calculation of a relaxed TbHoTePb crystal, from Alexandria.

a b c (Å): 4.410 4.410 6.216
angles (deg): 90.00 90.00 90.00
Space group P4/mmm (No. 123)
Symmetry-distinct sites (fractional):
Tb 0.000 0.000 0.000 x1
Ho 0.500 0.500 0.500 x1
Te 0.000 0.000 0.500 x1
Pb 0.500 0.500 0.000 x1

Crystal system: tetragonal
V, A^3/atom: 30.2
Theoretical density, Mg/m³: 9.05
Raw formation energy, eV per atom: -0.937
Size of the total moment, μB per cell: 0.00

Among the records above, which one has the highest V?
Ca3AlGe

The highest theoretical density belongs to which entry?
FeSiOs2